# 1
! PBE TcNiW2, optimized geometry; values from VASP
! - Energy relative to the elements: 0.767 eV/atom
! - Energy: -9.746 eV/atom
! - Calculated volume: 125 Å³ per cell
! - DOS at the Fermi energy: 0.83 states/eV/atom
! - Energy above the lowest structure with this stoichiometry: 731 meV/atom
&SYSTEM
  ibrav = 0, nat = 8, ntyp = 3
/
ATOMIC_SPECIES
Ni 58.69 Ni.upf
Tc 98.00 Tc.upf
W 183.84 W.upf
ATOMIC_POSITIONS crystal
Ni 0.500 0.500 0.000
Ni 0.250 0.750 0.500
Tc 0.750 0.250 0.500
Tc 0.000 0.000 0.000
W 0.875 0.869 0.750
W 0.619 0.125 0.250
W 0.131 0.625 0.250
W 0.375 0.381 0.750
CELL_PARAMETERS angstrom
-2.407 -0.460 6.410
5.997 -2.620 2.064
2.691 0.915 4.750

---

# 2
! PBE TcNiW, optimized geometry; values from VASP
! - Energy relative to the elements: 0.661 eV/atom
! - Energy: -9.039 eV/atom
! - Calculated volume: 50 Å³ per cell
! - DOS at the Fermi energy: 1.19 states/eV/atom
! - Energy above the lowest structure with this stoichiometry: 589 meV/atom
&SYSTEM
  ibrav = 0, nat = 3, ntyp = 3
/
ATOMIC_SPECIES
W 183.84 W.upf
Tc 98.00 Tc.upf
Ni 58.69 Ni.upf
ATOMIC_POSITIONS crystal
W 0.250 0.250 0.250
Tc 0.500 0.500 0.500
Ni 0.000 0.000 0.000
CELL_PARAMETERS angstrom
-1.297 -0.659 3.868
-2.887 -2.860 0.752
1.016 -3.498 1.952

---

# 3
! PBE TcNiW2, optimized geometry; values from VASP
! - Energy relative to the elements: 0.143 eV/atom
! - Energy: -10.371 eV/atom
! - Calculated volume: 59 Å³ per cell
! - DOS at the Fermi energy: 0.93 states/eV/atom
! - Energy above the lowest structure with this stoichiometry: 106 meV/atom
&SYSTEM
  ibrav = 0, nat = 4, ntyp = 3
/
ATOMIC_SPECIES
W 183.84 W.upf
Tc 98.00 Tc.upf
Ni 58.69 Ni.upf
ATOMIC_POSITIONS crystal
W 0.000 0.025 0.998
W 0.500 0.297 0.258
Tc 0.500 0.787 0.743
Ni 0.000 0.391 0.501
CELL_PARAMETERS angstrom
-3.783 -0.047 -2.192
-0.726 -2.205 1.299
-2.366 2.129 4.037

---

# 4
! PBE TcNiW2, optimized geometry; values from VASP
! - Energy relative to the elements: 0.037 eV/atom
! - Energy: -10.477 eV/atom
! - Calculated volume: 58 Å³ per cell
! - DOS at the Fermi energy: 0.59 states/eV/atom
! - Energy above the lowest structure with this stoichiometry: 0 meV/atom
&SYSTEM
  ibrav = 0, nat = 4, ntyp = 3
/
ATOMIC_SPECIES
Ni 58.69 Ni.upf
W 183.84 W.upf
Tc 98.00 Tc.upf
ATOMIC_POSITIONS crystal
Ni 0.500 0.000 0.500
W 0.000 0.000 0.000
W 0.500 0.500 0.000
Tc 0.000 0.500 0.500
CELL_PARAMETERS angstrom
3.887 0.000 0.000
0.000 3.886 0.000
0.000 0.000 3.822

---

# 5
! PBE TcNiW2, optimized geometry; values from VASP
! - Energy relative to the elements: 0.125 eV/atom
! - Energy: -10.388 eV/atom
! - Calculated volume: 58 Å³ per cell
! - DOS at the Fermi energy: 0.90 states/eV/atom
! - Energy above the lowest structure with this stoichiometry: 89 meV/atom
&SYSTEM
  ibrav = 0, nat = 4, ntyp = 3
/
ATOMIC_SPECIES
W 183.84 W.upf
Ni 58.69 Ni.upf
Tc 98.00 Tc.upf
ATOMIC_POSITIONS crystal
W 0.000 0.000 0.012
W 0.000 0.000 0.488
Ni 0.500 0.500 0.250
Tc 0.500 0.500 0.750
CELL_PARAMETERS angstrom
-1.967 1.726 0.637
-0.333 -2.175 1.553
4.922 3.441 5.875

---

# 6
! PBE TcNiW4, optimized geometry; values from VASP
! - Energy relative to the elements: 0.539 eV/atom
! - Energy: -10.787 eV/atom
! - Calculated volume: 98 Å³ per cell
! - DOS at the Fermi energy: 0.91 states/eV/atom
&SYSTEM
  ibrav = 0, nat = 6, ntyp = 3
/
ATOMIC_SPECIES
Ni 58.69 Ni.upf
W 183.84 W.upf
Tc 98.00 Tc.upf
ATOMIC_POSITIONS crystal
Ni 0.750 0.750 0.750
W 0.375 0.375 0.874
W 0.375 0.874 0.375
W 0.375 0.375 0.375
W 0.874 0.375 0.375
Tc 0.000 0.000 0.000
CELL_PARAMETERS angstrom
-3.933 -3.349 0.373
-3.663 -0.111 -3.659
-0.293 -4.022 -3.249

---

# 7
! PBE TcNiW2, optimized geometry; values from VASP
! - Energy relative to the elements: 0.214 eV/atom
! - Energy: -10.299 eV/atom
! - Calculated volume: 59 Å³ per cell
! - DOS at the Fermi energy: 1.30 states/eV/atom
! - Energy above the lowest structure with this stoichiometry: 177 meV/atom
&SYSTEM
  ibrav = 0, nat = 4, ntyp = 3
/
ATOMIC_SPECIES
W 183.84 W.upf
Tc 98.00 Tc.upf
Ni 58.69 Ni.upf
ATOMIC_POSITIONS crystal
W 0.000 0.000 0.000
W 0.750 0.750 0.750
Tc 0.250 0.250 0.250
Ni 0.500 0.500 0.500
CELL_PARAMETERS angstrom
4.363 0.000 0.000
2.181 3.778 0.000
2.181 1.259 3.562

---

# 8
! PBE TcNi3W, optimized geometry; values from VASP
! - Energy relative to the elements: 0.076 eV/atom
! - Energy: -8.056 eV/atom
! - Calculated volume: 128 Å³ per cell
! - DOS at the Fermi energy: 1.17 states/eV/atom
! - Energy above the lowest structure with this stoichiometry: 0 meV/atom
&SYSTEM
  ibrav = 0, nat = 10, ntyp = 3
/
ATOMIC_SPECIES
Ni 58.69 Ni.upf
W 183.84 W.upf
Tc 98.00 Tc.upf
ATOMIC_POSITIONS crystal
Ni 0.842 0.357 0.683
Ni 0.354 0.685 0.708
Ni 0.964 0.752 0.927
Ni 0.036 0.248 0.073
Ni 0.646 0.315 0.292
Ni 0.158 0.643 0.317
W 0.564 0.794 0.129
W 0.436 0.206 0.871
Tc 0.239 0.158 0.477
Tc 0.761 0.842 0.523
CELL_PARAMETERS angstrom
-0.731 -3.863 1.471
3.658 -1.570 -2.306
3.820 3.372 4.764